Record 1
Compound: ZrSbIr
Source: Alexandria via LeMat-Bulk
Functional: GGA-PBE
Structure: relaxed

Calculated values
Its space group is P-6m2 (187). The formation energy (no corrections) is -0.62 eV per atom.

a = 4.5950 Å, b = 4.5950 Å, c = 3.1249 Å
α = 90.00°, β = 90.00°, γ = 120.00°
Element x y z (fractional)
Zr: 0.0000 0.0000 0.0000
Sb: 0.6667 0.3333 0.5000
Ir: 0.3333 0.6667 0.5000

=====

Record 2
Compound: Zr2SbIr
Source: Alexandria via LeMat-Bulk
Functional: GGA-PBE
Structure: relaxed

Calculated values
Its space group is R-3m (166). The formation energy (no corrections) is -0.54 eV per atom.

a = 7.1974 Å, b = 7.1974 Å, c = 7.1974 Å
α = 31.73°, β = 31.73°, γ = 31.73°
Element x y z (fractional)
Zr: 0.2376 0.2376 0.2376
Zr: 0.7624 0.7624 0.7624
Sb: 0.0000 0.0000 0.0000
Ir: 0.5000 0.5000 0.5000

=====

Record 3
Compound: Sc3Ir
Source: Alexandria via LeMat-Bulk
Functional: GGA-PBE
Structure: relaxed

Calculated values
Its space group is Pnma (62). The formation energy is -622 meV/atom.

a = 6.7497 Å, b = 8.3872 Å, c = 6.0666 Å
α = 90.00°, β = 90.00°, γ = 90.00°
Element x y z (fractional)
Sc: 0.0286 0.2500 0.1022
Sc: 0.1810 0.0552 0.6810
Sc: 0.1810 0.4448 0.6810
Sc: 0.3190 0.5552 0.1810
Sc: 0.3190 0.9448 0.1810
Sc: 0.4714 0.7500 0.6022
Sc: 0.5286 0.2500 0.3978
Sc: 0.6810 0.0552 0.8190
Sc: 0.6810 0.4448 0.8190
Sc: 0.8190 0.5552 0.3190
Sc: 0.8190 0.9448 0.3190
Sc: 0.9714 0.7500 0.8978
Ir: 0.1039 0.7500 0.4732
Ir: 0.3961 0.2500 0.9732
Ir: 0.6039 0.7500 0.0268
Ir: 0.8961 0.2500 0.5268

=====

Record 4
Compound: Sc5Ir
Source: Alexandria via LeMat-Bulk
Functional: GGA-PBE
Structure: relaxed

Calculated values
Its space group is Cmmm (65). The formation energy is -289 meV/atom.

a = 7.5958 Å, b = 7.5958 Å, c = 4.8763 Å
α = 90.00°, β = 90.00°, γ = 152.53°
Element x y z (fractional)
Sc: 0.0000 0.0000 0.0000
Sc: 0.1387 0.8613 0.5000
Sc: 0.3311 0.6689 0.0000
Sc: 0.6689 0.3311 0.0000
Sc: 0.8613 0.1387 0.5000
Ir: 0.5000 0.5000 0.5000